Below is a geometry-optimized KWO4 structure, with properties calculated at the PBE with a Hubbard U level.

total energy: -6.3678 eV per atom

Cell: 5.414 5.481 7.607 Å, 104.70 114.35 90.12°
Sites, in units of the cell vectors:
K (0.253, 0.299, 0.051)
K (0.716, 0.734, 0.967)
O (0.079, 0.580, 0.766)
O (0.393, 0.882, 0.226)
O (0.307, 0.714, 0.527)
O (0.788, 0.785, 0.492)
O (0.701, 0.284, 0.483)
O (0.834, 0.412, 0.204)
O (0.212, 0.204, 0.494)
O (0.710, 0.115, 0.792)
W (0.513, 0.004, 0.523)
W (0.995, 0.487, 0.476)